w) Compound: Fe
Source: OQMD
Functional: PBE-GGA
Structure: relaxed

Cell: 2.7387 2.7387 5.0748 Å, 90.00 90.00 120.00°
Space group R-3m (No. 166, hexagonal axes)
Asymmetric unit:
Fe 0.0000 0.0000 0.0000

***

x) Compound: Fe
Source: OQMD
Functional: PBE-GGA
Structure: relaxed

Cell: 2.8183 2.8183 2.8183 Å, 90.00 90.00 90.00°
Space group Im-3m (No. 229)
Asymmetric unit:
Fe 0.0000 0.0000 0.0000

***

Which structure is most stable? x), by 0.367 eV/atom over the runner-up.

***

w) Compound: SmS
Source: OQMD
Functional: PBE-GGA
Structure: relaxed

Cell: 3.8253 3.8253 3.6917 Å, 90.00 90.00 120.00°
Space group P-6m2 (No. 187)
Asymmetric unit:
Sm 0.0000 0.0000 0.0000
S 0.3333 0.6667 0.5000

***

x) Compound: SmS
Source: OQMD
Functional: PBE-GGA
Structure: relaxed

Cell: 5.6645 5.6645 5.6645 Å, 90.00 90.00 90.00°
Space group Fm-3m (No. 225)
Asymmetric unit:
Sm 0.0000 0.0000 0.0000
S 0.0000 0.0000 0.5000

***

Which structure is most stable? x), by 0.162 eV/atom over the runner-up.